A PBEsol-optimized structure of HgMo, computed with SCAN.

Values from the calculation:
total magnetic moment: 0.00 μB/f.u.
excess energy over the best structure of this formula in the dataset: 0.00 eV per formula unit
VASP energy: -204.5 eV/cell

a b c (Å): 3.186 3.186 7.191
angles (deg): 90.00 90.00 90.00
Fractional positions:
Mo 0.000 0.500 0.414
Mo 0.500 0.000 0.586
Hg 0.500 0.000 0.145
Hg 0.000 0.500 0.855



A PBEsol-optimized structure of HgMo, computed with SCAN.

Values from the calculation:
total magnetic moment: 0.00 μB/f.u.
excess energy over the best structure of this formula in the dataset: 0.85 eV per formula unit
VASP energy: -202.8 eV/cell

a b c (Å): 4.634 4.634 4.634
angles (deg): 60.00 60.00 60.00
Fractional positions:
Mo 0.250 0.250 0.250
Mo 0.000 0.000 0.000
Hg 0.500 0.500 0.500
Hg 0.750 0.750 0.750



A PBEsol-optimized structure of HgMo, computed with SCAN.

Values from the calculation:
total magnetic moment: 0.00 μB/f.u.
excess energy over the best structure of this formula in the dataset: 0.45 eV per formula unit
VASP energy: -203.6 eV/cell

a b c (Å): 4.068 4.068 5.039
angles (deg): 113.80 113.80 90.00
Fractional positions:
Mo 0.750 0.250 0.500
Mo 0.500 0.500 0.000
Hg 0.250 0.750 0.500
Hg 0.000 0.000 0.000



no.,energy of formation (eV/f.u.)
1,0.808
2,1.656
3,1.260